1.
Compound: Se4S2Cl3
Source: Alexandria via LeMat-Bulk
Functional: PBE-GGA
Structure: relaxed Values from VASP.

Calculated values
The calculated total energy comes out at -3.099 eV/atom. As for the space-group type: C2/c (15). The calculation puts the theoretical density at 2.69 g/cm³. The raw formation energy is -17.4 meV/atom.

```
&SYSTEM
  ibrav = 0, nat = 18, ntyp = 3
/
ATOMIC_SPECIES
Se 78.96 Se.upf
S 32.06 S.upf
Cl 35.45 Cl.upf
ATOMIC_POSITIONS crystal
Se 0.0565 0.6602 0.9698
Se 0.2527 0.3717 0.5863
Se 0.3398 0.9435 0.5302
Se 0.3717 0.2527 0.0863
Se 0.6283 0.7473 0.9137
Se 0.6602 0.0565 0.4698
Se 0.7473 0.6283 0.4137
Se 0.9435 0.3398 0.0302
S 0.1534 0.4308 0.1771
S 0.4308 0.1534 0.6771
S 0.5692 0.8466 0.3229
S 0.8466 0.5692 0.8229
Cl 0.0341 0.2604 0.4432
Cl 0.2604 0.0341 0.9432
Cl 0.4686 0.5314 0.2500
Cl 0.5314 0.4686 0.7500
Cl 0.7396 0.9659 0.0568
Cl 0.9659 0.7396 0.5568
CELL_PARAMETERS angstrom
7.7382 -5.3994 0.0000
7.7382 5.3994 0.0000
-4.6087 0.0000 7.1841
```

***

2.
Compound: Se2S2Cl
Source: Alexandria via LeMat-Bulk
Functional: PBE-GGA
Structure: relaxed Values from VASP.

Calculated values
The calculated total energy comes out at -3.347 eV/atom. As for the space-group type: P-1 (2). The calculation puts the theoretical density at 2.78 g/cm³. The raw formation energy is 67.4 meV/atom.

```
&SYSTEM
  ibrav = 0, nat = 10, ntyp = 3
/
ATOMIC_SPECIES
Se 78.96 Se.upf
S 32.06 S.upf
Cl 35.45 Cl.upf
ATOMIC_POSITIONS crystal
Se 0.0896 0.1312 0.1502
Se 0.2629 0.6119 0.4873
Se 0.7371 0.3881 0.5127
Se 0.9104 0.8688 0.8498
S 0.0246 0.1942 0.7256
S 0.3759 0.9028 0.3618
S 0.6241 0.0972 0.6382
S 0.9754 0.8058 0.2744
Cl 0.2870 0.3795 0.0764
Cl 0.7130 0.6205 0.9236
CELL_PARAMETERS angstrom
6.8581 0.0000 0.0000
2.2284 6.8912 0.0000
0.3672 3.4709 6.5170
```

***

3.
Compound: SeSCl2
Source: Alexandria via LeMat-Bulk
Functional: PBE-GGA
Structure: relaxed Values from VASP.

Calculated values
The calculated total energy comes out at -2.890 eV/atom. The value obtained for the energy relative to the lowest polymorph listed for this composition is 0 meV per atom. As for the space-group type: Cmcm (63). The calculation puts the theoretical density at 2.11 g/cm³. The raw formation energy is -63.8 meV/atom.

```
&SYSTEM
  ibrav = 0, nat = 8, ntyp = 3
/
ATOMIC_SPECIES
Se 78.96 Se.upf
S 32.06 S.upf
Cl 35.45 Cl.upf
ATOMIC_POSITIONS crystal
Se 0.0950 0.9050 0.7500
Se 0.9050 0.0950 0.2500
S 0.0601 0.9399 0.2500
S 0.9399 0.0601 0.7500
Cl 0.3567 0.6433 0.1020
Cl 0.3567 0.6433 0.3980
Cl 0.6433 0.3567 0.6020
Cl 0.6433 0.3567 0.8980
CELL_PARAMETERS angstrom
1.8530 -6.4942 0.0000
1.8530 6.4942 0.0000
0.0000 0.0000 11.9005
```

***

4.
Compound: SeS2Cl
Source: Alexandria via LeMat-Bulk
Functional: PBE-GGA
Structure: relaxed Values from VASP.

Calculated values
The calculated total energy comes out at -2.520 eV/atom. The value obtained for the energy relative to the lowest polymorph listed for this composition is 740 meV per atom. As for the space-group type: Fm-3m (225). The calculation puts the theoretical density at 4.14 g/cm³. The raw formation energy is 877.0 meV/atom.

```
&SYSTEM
  ibrav = 0, nat = 4, ntyp = 3
/
ATOMIC_SPECIES
Se 78.96 Se.upf
S 32.06 S.upf
Cl 35.45 Cl.upf
ATOMIC_POSITIONS crystal
Se 0.0000 0.0000 0.0000
S 0.2500 0.2500 0.2500
S 0.7500 0.7500 0.7500
Cl 0.5000 0.5000 0.5000
CELL_PARAMETERS angstrom
0.0000 3.2967 3.2967
3.2967 0.0000 3.2967
3.2967 3.2967 0.0000
```